GeRu4, optimized geometry, DFT PBE; calculated volume = 17.75 Å³/atom; DOS at the Fermi energy = 8.56 states/eV/cell; ΔE_f = 1.441 eV/atom; mass density = 8.9 Mg/m³; symmetry = No. 221; E_tot = -6.9027 eV per atom
1.0
4.4609 0.0000 0.0000
0.0000 4.4609 0.0000
0.0000 0.0000 4.4609
Ge Ru
1 4
direct
0.0000 0.0000 0.0000
0.0000 0.0000 0.5000
0.0000 0.5000 0.0000
0.5000 0.0000 0.0000
0.5000 0.5000 0.5000

---

ErZrRh2, optimized geometry, DFT PBE; calculated volume = 18.86 Å³/atom; DOS at the Fermi energy = 2.49 states/eV/cell; ΔE_f = -0.861 eV/atom; mass density = 10.2 Mg/m³; symmetry = No. 123; E_tot = -7.8144 eV per atom
1.0
3.3274 0.0000 0.0000
0.0000 3.3274 0.0000
0.0000 0.0000 6.8135
Er Zr Rh
1 1 2
direct
0.0000 0.0000 0.0000
0.0000 0.0000 0.5000
0.5000 0.5000 0.2681
0.5000 0.5000 0.7319